VASP calculation (PBE with a Hubbard U) on crystalline KInNi2F8 at its relaxed geometry.

Lattice parameters (Å, degrees): 4.8675 4.9590 7.7596 92.79 90.12 92.69
Element x y z (fractional)
1 K 0.0000 0.0000 0.0000
2 In 0.0000 0.0000 0.5000
3 Ni 0.4848 0.5284 0.7045
4 Ni 0.5152 0.4716 0.2955
5 F 0.1837 0.2204 0.3076
6 F 0.1928 0.2322 0.7007
7 F 0.3262 0.7068 0.4912
8 F 0.3742 0.6983 0.9096
9 F 0.6258 0.3017 0.0904
10 F 0.6738 0.2932 0.5088
11 F 0.8072 0.7678 0.2993
12 F 0.8163 0.7796 0.6924

Values from the calculation:
N(E_F)   0.00 states/eV per cell
Magnetization   4.0 μB per cell
Uncorrected energy   -4.30 eV/atom